#a
LaMg3Ru | GGA-PBE | relaxed

```
data_LaMg3Ru
_chemical_formula_sum 'La2 Mg6 Ru2'
_cell_length_a 5.4355
_cell_length_b 6.1125
_cell_length_c 7.3397
_cell_angle_alpha 90.00
_cell_angle_beta 105.73
_cell_angle_gamma 90.00
_symmetry_space_group_name_H-M 'P 1'
_symmetry_Int_Tables_number 1
loop_
_symmetry_equiv_pos_as_xyz
'x,y,z'
loop_
_atom_site_label
_atom_site_type_symbol
_atom_site_fract_x
_atom_site_fract_y
_atom_site_fract_z
La1 La 0.0861 0.2500 0.4105
La2 La 0.9139 0.7500 0.5895
Mg1 Mg 0.0280 0.2500 0.8880
Mg2 Mg 0.4846 0.5012 0.2058
Mg3 Mg 0.4846 0.9988 0.2058
Mg4 Mg 0.5154 0.0012 0.7942
Mg5 Mg 0.5154 0.4988 0.7942
Mg6 Mg 0.9720 0.7500 0.1120
Ru1 Ru 0.3137 0.7500 0.4731
Ru2 Ru 0.6863 0.2500 0.5269
```

***

#b
LaMg3Ru | GGA-PBE | relaxed

```
data_LaMg3Ru
_chemical_formula_sum 'La1 Mg3 Ru1'
_cell_length_a 5.0052
_cell_length_b 5.0052
_cell_length_c 5.0052
_cell_angle_alpha 90.00
_cell_angle_beta 90.00
_cell_angle_gamma 90.00
_symmetry_space_group_name_H-M 'P 1'
_symmetry_Int_Tables_number 1
loop_
_symmetry_equiv_pos_as_xyz
'x,y,z'
loop_
_atom_site_label
_atom_site_type_symbol
_atom_site_fract_x
_atom_site_fract_y
_atom_site_fract_z
La1 La 0.0000 0.0000 0.0000
Mg1 Mg 0.0000 0.5000 0.5000
Mg2 Mg 0.5000 0.0000 0.5000
Mg3 Mg 0.5000 0.5000 0.0000
Ru1 Ru 0.5000 0.5000 0.5000
```

***

Stability summary: most stable #a, least stable #b.

***

#a
LaMg3Ru | GGA-PBE | relaxed

```
data_LaMg3Ru
_chemical_formula_sum 'La2 Mg6 Ru2'
_cell_length_a 10.0351
_cell_length_b 10.0351
_cell_length_c 10.0351
_cell_angle_alpha 148.37
_cell_angle_beta 148.37
_cell_angle_gamma 45.34
_symmetry_space_group_name_H-M 'P 1'
_symmetry_Int_Tables_number 1
loop_
_symmetry_equiv_pos_as_xyz
'x,y,z'
loop_
_atom_site_label
_atom_site_type_symbol
_atom_site_fract_x
_atom_site_fract_y
_atom_site_fract_z
La1 La 0.2079 0.2079 0.0000
La2 La 0.7921 0.7921 0.0000
Mg1 Mg 0.3691 0.6180 0.7511
Mg2 Mg 0.3820 0.1332 0.7511
Mg3 Mg 0.3820 0.6309 0.2489
Mg4 Mg 0.5325 0.0325 0.5000
Mg5 Mg 0.8668 0.6180 0.2489
Mg6 Mg 0.9675 0.4675 0.5000
Ru1 Ru 0.2500 0.7500 0.5000
Ru2 Ru 0.5000 0.5000 0.0000
```

***

#b
LaMg3Ru | GGA-PBE | relaxed

```
data_LaMg3Ru
_chemical_formula_sum 'La1 Mg3 Ru1'
_cell_length_a 5.6623
_cell_length_b 5.6623
_cell_length_c 5.6623
_cell_angle_alpha 90.00
_cell_angle_beta 90.00
_cell_angle_gamma 90.00
_symmetry_space_group_name_H-M 'P 1'
_symmetry_Int_Tables_number 1
loop_
_symmetry_equiv_pos_as_xyz
'x,y,z'
loop_
_atom_site_label
_atom_site_type_symbol
_atom_site_fract_x
_atom_site_fract_y
_atom_site_fract_z
La1 La 0.0000 0.0000 0.0000
Mg1 Mg 0.0000 0.0000 0.5000
Mg2 Mg 0.0000 0.5000 0.0000
Mg3 Mg 0.5000 0.0000 0.0000
Ru1 Ru 0.5000 0.5000 0.5000
```

***

Stability summary: most stable #a, least stable #b.

***

#a
La2MgTlRu | GGA-PBE | relaxed

```
data_La2MgTlRu
_chemical_formula_sum 'La2 Mg1 Tl1 Ru1'
_cell_length_a 5.3483
_cell_length_b 5.3483
_cell_length_c 5.2410
_cell_angle_alpha 90.00
_cell_angle_beta 90.00
_cell_angle_gamma 90.00
_symmetry_space_group_name_H-M 'P 1'
_symmetry_Int_Tables_number 1
loop_
_symmetry_equiv_pos_as_xyz
'x,y,z'
loop_
_atom_site_label
_atom_site_type_symbol
_atom_site_fract_x
_atom_site_fract_y
_atom_site_fract_z
La1 La 0.0000 0.5000 0.0000
La2 La 0.5000 0.0000 0.0000
Mg1 Mg 0.0000 0.0000 0.5000
Tl1 Tl 0.5000 0.5000 0.5000
Ru1 Ru 0.0000 0.0000 0.0000
```

***

#b
La2MgTlRu | GGA-PBE | relaxed

```
data_La2MgTlRu
_chemical_formula_sum 'La2 Mg1 Tl1 Ru1'
_cell_length_a 5.4049
_cell_length_b 5.4049
_cell_length_c 5.4241
_cell_angle_alpha 90.00
_cell_angle_beta 90.00
_cell_angle_gamma 90.00
_symmetry_space_group_name_H-M 'P 1'
_symmetry_Int_Tables_number 1
loop_
_symmetry_equiv_pos_as_xyz
'x,y,z'
loop_
_atom_site_label
_atom_site_type_symbol
_atom_site_fract_x
_atom_site_fract_y
_atom_site_fract_z
La1 La 0.0000 0.5000 0.0000
La2 La 0.5000 0.0000 0.0000
Mg1 Mg 0.0000 0.0000 0.5000
Tl1 Tl 0.5000 0.5000 0.5000
Ru1 Ru 0.5000 0.5000 0.0000
```

***

Stability summary: most stable #a, least stable #b.